VASP calculation (GGA-PBE) on crystalline MgScPt at its relaxed geometry.

a = 4.504 Å, b = 4.504 Å, c = 4.504 Å
α = 60.00°, β = 60.00°, γ = 60.00°
Sites, in units of the cell vectors:
1 Mg 0.000 0.000 0.000
2 Sc 0.500 0.500 0.500
3 Pt 0.250 0.250 0.250

## Properties
- Symmetry: F-43m (216)
- ρ: 6.79 g cm⁻³
- Total DFT energy (no corrections): -16.4 eV/cell

---

VASP calculation (GGA-PBE) on crystalline Sm3LuH at its relaxed geometry.

a = 5.056 Å, b = 5.056 Å, c = 5.056 Å
α = 90.00°, β = 90.00°, γ = 90.00°
Sites, in units of the cell vectors:
1 Sm 0.000 0.000 0.500
2 Sm 0.000 0.500 0.000
3 Sm 0.500 0.000 0.000
4 Lu 0.500 0.500 0.500
5 H 0.000 0.000 0.000

## Properties
- Symmetry: Pm-3m (221)
- ρ: 8.06 g cm⁻³
- Total DFT energy (no corrections): -22.8 eV/cell

---

VASP calculation (GGA-PBE) on crystalline BiTe2SN at its relaxed geometry.

a = 5.954 Å, b = 5.954 Å, c = 4.274 Å
α = 90.00°, β = 90.00°, γ = 90.00°
Sites, in units of the cell vectors:
1 Bi 0.000 0.000 0.000
2 Te 0.000 0.500 0.000
3 Te 0.500 0.000 0.000
4 S 0.500 0.500 0.500
5 N 0.000 0.000 0.500

## Properties
- Symmetry: P4/mmm (123)
- Distance to the lowest polymorph of the same formula: 688 meV/atom
- ρ: 5.59 g cm⁻³
- Total DFT energy (no corrections): -15.6 eV/cell
- Energy relative to the elements, uncorrected: 1.400 eV per atom

---

VASP calculation (GGA-PBE) on crystalline ZrScTaO6 at its relaxed geometry.

a = 4.853 Å, b = 4.853 Å, c = 9.587 Å
α = 90.00°, β = 90.00°, γ = 90.00°
Sites, in units of the cell vectors:
1 Zr 0.000 0.000 0.000
2 Zr 0.500 0.500 0.500
3 Sc 0.000 0.000 0.333
4 Sc 0.500 0.500 0.833
5 Ta 0.000 0.000 0.666
6 Ta 0.500 0.500 0.166
7 O 0.191 0.191 0.507
8 O 0.191 0.191 0.823
9 O 0.205 0.205 0.164
10 O 0.295 0.705 0.664
11 O 0.309 0.691 0.007
12 O 0.309 0.691 0.323
13 O 0.691 0.309 0.007
14 O 0.691 0.309 0.323
15 O 0.705 0.295 0.664
16 O 0.795 0.795 0.164
17 O 0.809 0.809 0.507
18 O 0.809 0.809 0.823

## Properties
- Symmetry: P4_2nm (102)
- ρ: 6.08 g cm⁻³
- Total DFT energy (no corrections): -170.8 eV/cell
- Energy relative to the elements, uncorrected: -3.212 eV per atom

---

VASP calculation (GGA-PBE) on crystalline Ta2BeZn at its relaxed geometry.

a = 4.715 Å, b = 4.715 Å, c = 2.820 Å
α = 90.00°, β = 90.00°, γ = 106.87°
Sites, in units of the cell vectors:
1 Ta 0.000 0.500 0.000
2 Ta 0.500 0.000 0.000
3 Be 0.000 0.000 0.500
4 Zn 0.500 0.500 0.500

## Properties
- Symmetry: Cmmm (65)
- Distance to the lowest polymorph of the same formula: 79 meV/atom
- ρ: 12.08 g cm⁻³
- Total DFT energy (no corrections): -28.4 eV/cell

---

VASP calculation (GGA-PBE) on crystalline Zr2CoAu at its relaxed geometry.

a = 4.197 Å, b = 5.473 Å, c = 5.473 Å
α = 36.60°, β = 90.00°, γ = 90.00°
Sites, in units of the cell vectors:
1 Zr 0.000 0.000 0.000
2 Zr 0.500 0.298 0.298
3 Co 0.000 0.754 0.754
4 Au 0.500 0.576 0.576

## Properties
- Symmetry: Amm2 (38)
- Distance to the lowest polymorph of the same formula: 0 meV/atom
- ρ: 9.71 g cm⁻³
- Total DFT energy (no corrections): -29.0 eV/cell

---

VASP calculation (GGA-PBE) on crystalline Zr2CuC at its relaxed geometry.

a = 10.647 Å, b = 10.647 Å, c = 3.491 Å
α = 90.00°, β = 90.00°, γ = 161.46°
Sites, in units of the cell vectors:
1 Zr 0.089 0.911 0.750
2 Zr 0.303 0.697 0.750
3 Zr 0.697 0.303 0.250
4 Zr 0.911 0.089 0.250
5 Cu 0.461 0.539 0.750
6 Cu 0.539 0.461 0.250
7 C 0.195 0.805 0.750
8 C 0.805 0.195 0.250

## Properties
- Symmetry: Cmcm (63)
- ρ: 6.81 g cm⁻³
- Total DFT energy (no corrections): -64.3 eV/cell

---

VASP calculation (GGA-PBE) on crystalline UFe2Si2 at its relaxed geometry.

a = 5.409 Å, b = 5.409 Å, c = 5.409 Å
α = 137.10°, β = 137.10°, γ = 62.29°
Sites, in units of the cell vectors:
1 U 0.000 0.000 0.000
2 Fe 0.250 0.750 0.500
3 Fe 0.750 0.250 0.500
4 Si 0.370 0.370 0.000
5 Si 0.630 0.630 0.000

## Properties
- Symmetry: I4/mmm (139)
- ρ: 9.30 g cm⁻³
- Total DFT energy (no corrections): -41.7 eV/cell
- Energy relative to the elements, uncorrected: -0.525 eV per atom

---

VASP calculation (GGA-PBE) on crystalline KNdBi4O8 at its relaxed geometry.

a = 7.321 Å, b = 7.321 Å, c = 7.321 Å
α = 58.68°, β = 58.68°, γ = 58.68°
Sites, in units of the cell vectors:
1 K 0.000 0.000 0.000
2 Nd 0.628 0.628 0.628
3 Bi 0.116 0.630 0.630
4 Bi 0.253 0.253 0.253
5 Bi 0.630 0.116 0.630
6 Bi 0.630 0.630 0.116
7 O 0.375 0.375 0.375
8 O 0.397 0.397 0.862
9 O 0.397 0.862 0.397
10 O 0.445 0.863 0.863
11 O 0.854 0.854 0.854
12 O 0.862 0.397 0.397
13 O 0.863 0.445 0.863
14 O 0.863 0.863 0.445

## Properties
- Symmetry: R3m (160)
- ρ: 7.08 g cm⁻³
- Total DFT energy (no corrections): -83.3 eV/cell
- Energy relative to the elements, uncorrected: -1.591 eV per atom

---

VASP calculation (GGA-PBE) on crystalline CoTcPt2 at its relaxed geometry.

a = 2.713 Å, b = 3.805 Å, c = 5.491 Å
α = 90.00°, β = 90.00°, γ = 90.00°
Sites, in units of the cell vectors:
1 Co 0.000 0.000 0.000
2 Tc 0.500 0.500 0.775
3 Pt 0.000 0.000 0.525
4 Pt 0.500 0.500 0.246

## Properties
- Symmetry: Pmm2 (25)
- Distance to the lowest polymorph of the same formula: 49 meV/atom
- ρ: 16.03 g cm⁻³
- Total DFT energy (no corrections): -29.8 eV/cell

---

VASP calculation (GGA-PBE) on crystalline ZrPb3 at its relaxed geometry.

a = 6.139 Å, b = 6.139 Å, c = 5.654 Å
α = 99.77°, β = 99.77°, γ = 31.43°
Sites, in units of the cell vectors:
1 Zr 0.000 0.000 0.000
2 Pb 0.262 0.262 0.761
3 Pb 0.500 0.500 0.500
4 Pb 0.738 0.738 0.239

## Properties
- Symmetry: C2/m (12)
- ρ: 10.82 g cm⁻³
- Total DFT energy (no corrections): -19.5 eV/cell

---

VASP calculation (GGA-PBE) on crystalline Be2TlCl at its relaxed geometry.

a = 4.792 Å, b = 4.792 Å, c = 4.792 Å
α = 60.00°, β = 60.00°, γ = 60.00°
Sites, in units of the cell vectors:
1 Be 0.250 0.250 0.250
2 Be 0.750 0.750 0.750
3 Tl 0.000 0.000 0.000
4 Cl 0.500 0.500 0.500

## Properties
- Symmetry: Fm-3m (225)
- Distance to the lowest polymorph of the same formula: 798 meV/atom
- ρ: 5.50 g cm⁻³
- Total DFT energy (no corrections): -7.8 eV/cell
- Energy relative to the elements, uncorrected: 0.955 eV per atom

---

VASP calculation (GGA-PBE) on crystalline Tb2Pd4Au3 at its relaxed geometry.

a = 4.692 Å, b = 4.692 Å, c = 8.694 Å
α = 93.26°, β = 93.26°, γ = 61.88°
Sites, in units of the cell vectors:
1 Tb 0.165 0.165 0.275
2 Tb 0.835 0.835 0.725
3 Pd 0.167 0.167 0.600
4 Pd 0.496 0.496 0.163
5 Pd 0.504 0.504 0.837
6 Pd 0.833 0.833 0.400
7 Au 0.172 0.172 0.931
8 Au 0.500 0.500 0.500
9 Au 0.828 0.828 0.069

## Properties
- Symmetry: C2/m (12)
- ρ: 13.16 g cm⁻³
- Total DFT energy (no corrections): -46.0 eV/cell

---

VASP calculation (GGA-PBE) on crystalline VCd3N at its relaxed geometry.

a = 5.501 Å, b = 5.501 Å, c = 5.501 Å
α = 90.00°, β = 90.00°, γ = 90.00°
Sites, in units of the cell vectors:
1 V 0.000 0.000 0.000
2 Cd 0.000 0.000 0.500
3 Cd 0.000 0.500 0.000
4 Cd 0.500 0.000 0.000
5 N 0.500 0.500 0.500

## Properties
- Symmetry: Pm-3m (221)
- Distance to the lowest polymorph of the same formula: 805 meV/atom
- ρ: 4.01 g cm⁻³
- Total DFT energy (no corrections): -11.8 eV/cell
- Energy relative to the elements, uncorrected: 1.672 eV per atom

---

VASP calculation (GGA-PBE) on crystalline Pr4GaI2Br at its relaxed geometry.

a = 7.382 Å, b = 4.459 Å, c = 8.214 Å
α = 90.00°, β = 108.96°, γ = 90.00°
Sites, in units of the cell vectors:
1 Pr 0.225 0.000 0.204
2 Pr 0.258 0.500 0.797
3 Pr 0.742 0.500 0.203
4 Pr 0.775 0.000 0.796
5 Ga 0.000 0.500 0.000
6 I 0.000 0.000 0.500
7 I 0.500 0.500 0.500
8 Br 0.500 0.000 0.000

## Properties
- Symmetry: P2/m (10)
- ρ: 6.28 g cm⁻³
- Total DFT energy (no corrections): -34.2 eV/cell
- Energy relative to the elements, uncorrected: -0.912 eV per atom

---

VASP calculation (GGA-PBE) on crystalline Ca2SnGe3Au4 at its relaxed geometry.

a = 4.457 Å, b = 4.457 Å, c = 11.190 Å
α = 90.00°, β = 90.00°, γ = 90.00°
Sites, in units of the cell vectors:
1 Ca 0.000 0.500 0.230
2 Ca 0.500 0.000 0.770
3 Sn 0.000 0.000 0.500
4 Ge 0.000 0.500 0.872
5 Ge 0.500 0.000 0.128
6 Ge 0.500 0.500 0.500
7 Au 0.000 0.000 0.000
8 Au 0.000 0.500 0.649
9 Au 0.500 0.000 0.351
10 Au 0.500 0.500 0.000

## Properties
- Symmetry: P-4m2 (115)
- ρ: 9.00 g cm⁻³
- Total DFT energy (no corrections): -39.5 eV/cell

---

VASP calculation (GGA-PBE) on crystalline Ce3GeSe at its relaxed geometry.

a = 4.374 Å, b = 8.389 Å, c = 9.837 Å
α = 109.97°, β = 90.14°, γ = 105.02°
Sites, in units of the cell vectors:
1 Ce 0.032 0.062 0.229
2 Ce 0.151 0.299 0.537
3 Ce 0.354 0.709 0.968
4 Ce 0.646 0.291 0.032
5 Ce 0.849 0.701 0.463
6 Ce 0.968 0.938 0.771
7 Ge 0.343 0.688 0.659
8 Ge 0.657 0.312 0.341
9 Se 0.161 0.324 0.839
10 Se 0.839 0.676 0.161

## Properties
- Symmetry: P-1 (2)
- ρ: 5.83 g cm⁻³
- Total DFT energy (no corrections): -58.1 eV/cell
- Energy relative to the elements, uncorrected: -0.633 eV per atom

---

VASP calculation (GGA-PBE) on crystalline Mg2ScNb3N6 at its relaxed geometry.

a = 5.352 Å, b = 5.352 Å, c = 5.527 Å
α = 99.25°, β = 99.25°, γ = 120.00°
Sites, in units of the cell vectors:
1 Mg 0.166 0.834 0.000
2 Mg 0.834 0.166 0.000
3 Sc 0.500 0.500 0.000
4 Nb 0.000 0.000 0.500
5 Nb 0.326 0.674 0.500
6 Nb 0.674 0.326 0.500
7 N 0.081 0.418 0.751
8 N 0.250 0.250 0.258
9 N 0.418 0.081 0.751
10 N 0.582 0.919 0.249
11 N 0.750 0.750 0.742
12 N 0.919 0.582 0.249

## Properties
- Symmetry: C2/m (12)
- ρ: 5.84 g cm⁻³
- Total DFT energy (no corrections): -103.7 eV/cell
- Energy relative to the elements, uncorrected: -1.172 eV per atom

---

VASP calculation (GGA-PBE) on crystalline NdY2Te at its relaxed geometry.

a = 6.477 Å, b = 6.477 Å, c = 9.878 Å
α = 90.00°, β = 90.00°, γ = 143.85°
Sites, in units of the cell vectors:
1 Nd 0.055 0.945 0.750
2 Nd 0.945 0.055 0.250
3 Y 0.363 0.637 0.536
4 Y 0.363 0.637 0.964
5 Y 0.637 0.363 0.036
6 Y 0.637 0.363 0.464
7 Te 0.233 0.767 0.250
8 Te 0.767 0.233 0.750

## Properties
- Symmetry: Cmcm (63)
- Distance to the lowest polymorph of the same formula: 0 meV/atom
- ρ: 6.11 g cm⁻³
- Total DFT energy (no corrections): -47.2 eV/cell
- Energy relative to the elements, uncorrected: -0.686 eV per atom

---

VASP calculation (GGA-PBE) on crystalline La4HoTh3As8 at its relaxed geometry.

a = 8.604 Å, b = 8.604 Å, c = 8.604 Å
α = 59.76°, β = 59.76°, γ = 59.76°
Sites, in units of the cell vectors:
1 La 0.000 0.000 0.000
2 La 0.000 0.500 0.500
3 La 0.500 0.000 0.500
4 La 0.500 0.500 0.000
5 Ho 0.500 0.500 0.500
6 Th 0.000 0.000 0.500
7 Th 0.000 0.500 0.000
8 Th 0.500 0.000 0.000
9 As 0.247 0.247 0.247
10 As 0.249 0.745 0.745
11 As 0.255 0.255 0.751
12 As 0.255 0.751 0.255
13 As 0.745 0.249 0.745
14 As 0.745 0.745 0.249
15 As 0.751 0.255 0.255
16 As 0.753 0.753 0.753

## Properties
- Symmetry: R-3m (166)
- ρ: 7.47 g cm⁻³
- Total DFT energy (no corrections): -108.1 eV/cell

---

VASP calculation (GGA-PBE) on crystalline Pr2Nd6HoTm at its relaxed geometry.

a = 8.988 Å, b = 8.988 Å, c = 9.874 Å
α = 94.42°, β = 94.42°, γ = 118.06°
Sites, in units of the cell vectors:
1 Pr 0.195 0.296 0.042
2 Pr 0.296 0.195 0.542
3 Pr 0.704 0.805 0.458
4 Pr 0.805 0.704 0.958
5 Nd 0.015 0.575 0.191
6 Nd 0.123 0.753 0.555
7 Nd 0.247 0.877 0.945
8 Nd 0.292 0.501 0.381
9 Nd 0.425 0.985 0.309
10 Nd 0.499 0.708 0.119
11 Nd 0.501 0.292 0.881
12 Nd 0.575 0.015 0.691
13 Nd 0.708 0.499 0.619
14 Nd 0.753 0.123 0.055
15 Nd 0.877 0.247 0.445
16 Nd 0.985 0.425 0.809
17 Ho 0.019 0.981 0.250
18 Ho 0.981 0.019 0.750
19 Tm 0.408 0.592 0.750
20 Tm 0.592 0.408 0.250

## Properties
- Symmetry: C2/c (15)
- ρ: 7.07 g cm⁻³
- Total DFT energy (no corrections): -92.1 eV/cell

---

VASP calculation (GGA-PBE) on crystalline NaHfW2 at its relaxed geometry.

a = 4.698 Å, b = 4.698 Å, c = 4.698 Å
α = 60.00°, β = 60.00°, γ = 60.00°
Sites, in units of the cell vectors:
1 Na 0.000 0.000 0.000
2 Hf 0.500 0.500 0.500
3 W 0.250 0.250 0.250
4 W 0.750 0.750 0.750

## Properties
- Symmetry: Fm-3m (225)
- ρ: 12.89 g cm⁻³
- Total DFT energy (no corrections): -32.3 eV/cell

---

VASP calculation (GGA-PBE) on crystalline YThRe4 at its relaxed geometry.

a = 5.413 Å, b = 5.413 Å, c = 9.143 Å
α = 90.00°, β = 90.00°, γ = 120.00°
Sites, in units of the cell vectors:
1 Y 0.333 0.667 0.063
2 Y 0.667 0.333 0.937
3 Th 0.333 0.667 0.441
4 Th 0.667 0.333 0.559
5 Re 0.000 0.000 0.000
6 Re 0.000 0.000 0.500
7 Re 0.170 0.340 0.758
8 Re 0.170 0.830 0.758
9 Re 0.340 0.170 0.242
10 Re 0.660 0.830 0.758
11 Re 0.830 0.170 0.242
12 Re 0.830 0.660 0.242

## Properties
- Symmetry: P-3m1 (164)
- Distance to the lowest polymorph of the same formula: 0 meV/atom
- ρ: 15.26 g cm⁻³
- Total DFT energy (no corrections): -129.1 eV/cell

---

VASP calculation (GGA-PBE) on crystalline SrCoSe at its relaxed geometry.

a = 4.519 Å, b = 4.519 Å, c = 4.519 Å
α = 60.00°, β = 60.00°, γ = 60.00°
Sites, in units of the cell vectors:
1 Sr 0.000 0.000 0.000
2 Co 0.750 0.750 0.750
3 Se 0.500 0.500 0.500

## Properties
- Symmetry: F-43m (216)
- Distance to the lowest polymorph of the same formula: 475 meV/atom
- ρ: 5.74 g cm⁻³
- Total DFT energy (no corrections): -13.0 eV/cell
- Energy relative to the elements, uncorrected: -0.250 eV per atom

---

VASP calculation (GGA-PBE) on crystalline TbYAgPb at its relaxed geometry.

a = 5.296 Å, b = 5.296 Å, c = 5.296 Å
α = 60.00°, β = 60.00°, γ = 60.00°
Sites, in units of the cell vectors:
1 Tb 0.000 0.000 0.000
2 Y 0.500 0.500 0.500
3 Ag 0.750 0.750 0.750
4 Pb 0.250 0.250 0.250

## Properties
- Symmetry: F-43m (216)
- ρ: 8.90 g cm⁻³
- Total DFT energy (no corrections): -19.3 eV/cell